CeAlAs: relaxed, PBE-GGA. Values from VASP.

Results
Energy of formation from the pure elements: -0.697 eV per atom
Spin magnetization: 1.59 μB/cell
D(E_F): 10.0 states/eV/cell
Theoretical density: 5.24 g/cm3
Final energy: -32.83 eV per cell

The structure in Quantum ESPRESSO input format:
```
&SYSTEM
  ibrav = 0, nat = 6, ntyp = 3
/
ATOMIC_SPECIES
Ce 140.12 Ce.upf
Al 26.98 Al.upf
As 74.92 As.upf
CELL_PARAMETERS angstrom
2.414 1.393 7.603
-2.414 1.393 7.603
0.000 -2.787 7.603
ATOMIC_POSITIONS crystal
Ce 0.088 0.088 0.088
Ce 0.912 0.912 0.912
Al 0.329 0.329 0.329
Al 0.671 0.671 0.671
As 0.217 0.217 0.217
As 0.783 0.783 0.783
```

=====

La6C2Cl3O: relaxed, PBE-GGA. Values from VASP.

Results
Spin magnetization: 0.00 μB/cell
D(E_F): 2.6 states/eV/cell
Formation energy without anion corrections: -1.462 eV per atom
Theoretical density: 5.92 g/cm3
Final energy: -76.06 eV per cell

The structure in Quantum ESPRESSO input format:
```
&SYSTEM
  ibrav = 0, nat = 12, ntyp = 4
/
ATOMIC_SPECIES
La 138.91 La.upf
C 12.01 C.upf
Cl 35.45 Cl.upf
O 16.00 O.upf
CELL_PARAMETERS angstrom
3.302 -5.719 0.000
3.302 5.719 0.000
-2.203 0.000 7.274
ATOMIC_POSITIONS crystal
La 0.064 0.397 0.192
La 0.269 0.269 0.808
La 0.397 0.064 0.192
La 0.603 0.936 0.808
La 0.731 0.731 0.192
La 0.936 0.603 0.808
C 0.334 0.666 0.000
C 0.666 0.334 0.000
Cl 0.171 0.829 0.500
Cl 0.500 0.500 0.500
Cl 0.829 0.171 0.500
O 0.000 0.000 0.000
```

=====

Cs2Rb2ReO4: relaxed, PBE-GGA. Values from VASP.

Results
Spin magnetization: 1.00 μB/cell
D(E_F): 6.3 states/eV/cell
Formation energy without anion corrections: -1.154 eV per atom
Theoretical density: 5.49 g/cm3
Final energy: -46.31 eV per cell

The structure in Quantum ESPRESSO input format:
```
&SYSTEM
  ibrav = 0, nat = 9, ntyp = 4
/
ATOMIC_SPECIES
Cs 132.91 Cs.upf
Rb 85.47 Rb.upf
Re 186.21 Re.upf
O 16.00 O.upf
CELL_PARAMETERS angstrom
-3.322 3.322 4.707
3.322 -3.322 4.707
3.322 3.322 -4.707
ATOMIC_POSITIONS crystal
Cs 0.250 0.750 0.500
Cs 0.750 0.250 0.500
Rb 0.154 0.154 0.000
Rb 0.846 0.846 0.000
Re 0.500 0.500 0.000
O 0.295 0.295 0.591
O 0.295 0.705 0.000
O 0.705 0.295 0.000
O 0.705 0.705 0.409
```

=====

VGa2Rh: relaxed, PBE-GGA. Values from VASP.

Results
Energy of formation from the pure elements: -0.373 eV per atom
Spin magnetization: 0.00 μB/cell
D(E_F): 1.7 states/eV/cell
Theoretical density: 8.60 g/cm3
Final energy: -24.01 eV per cell

The structure in Quantum ESPRESSO input format:
```
&SYSTEM
  ibrav = 0, nat = 4, ntyp = 3
/
ATOMIC_SPECIES
V 50.94 V.upf
Ga 69.72 Ga.upf
Rh 102.91 Rh.upf
CELL_PARAMETERS angstrom
2.911 0.000 0.000
0.000 2.911 0.000
0.000 0.000 6.681
ATOMIC_POSITIONS crystal
V 0.000 0.000 0.000
Ga 0.500 0.500 0.260
Ga 0.500 0.500 0.740
Rh 0.000 0.000 0.500
```

=====

Ac2Zn4In3Hg: relaxed, PBE-GGA. Values from VASP.

Results
Energy of formation from the pure elements: -0.349 eV per atom
Spin magnetization: 0.00 μB/cell
D(E_F): 3.8 states/eV/cell
Theoretical density: 8.58 g/cm3
Final energy: -25.32 eV per cell

The structure in Quantum ESPRESSO input format:
```
&SYSTEM
  ibrav = 0, nat = 10, ntyp = 4
/
ATOMIC_SPECIES
Ac 227.00 Ac.upf
Zn 65.41 Zn.upf
In 114.82 In.upf
Hg 200.59 Hg.upf
CELL_PARAMETERS angstrom
4.660 0.000 0.000
0.000 4.660 0.000
0.000 0.000 11.237
ATOMIC_POSITIONS crystal
Ac 0.000 0.500 0.245
Ac 0.500 0.000 0.755
Zn 0.000 0.000 0.000
Zn 0.000 0.500 0.635
Zn 0.500 0.000 0.365
Zn 0.500 0.500 0.000
In 0.000 0.500 0.871
In 0.500 0.000 0.129
In 0.500 0.500 0.500
Hg 0.000 0.000 0.500
```

=====

Ba5Cl: relaxed, PBE-GGA. Values from VASP.

Results
Spin magnetization: 2.15 μB/cell
D(E_F): 16.0 states/eV/cell
Formation energy without anion corrections: -0.407 eV per atom
Energy above the lowest structure with this stoichiometry: 96 meV per atom
Theoretical density: 3.14 g/cm3
Final energy: -27.80 eV per cell

The structure in Quantum ESPRESSO input format:
```
&SYSTEM
  ibrav = 0, nat = 12, ntyp = 2
/
ATOMIC_SPECIES
Ba 137.33 Ba.upf
Cl 35.45 Cl.upf
CELL_PARAMETERS angstrom
7.046 0.000 0.000
0.000 4.577 0.000
0.000 0.000 23.682
ATOMIC_POSITIONS crystal
Ba 0.000 0.000 0.000
Ba 0.000 0.000 0.332
Ba 0.000 0.000 0.666
Ba 0.000 0.500 0.166
Ba 0.000 0.500 0.500
Ba 0.000 0.500 0.832
Ba 0.500 0.000 0.222
Ba 0.500 0.000 0.889
Ba 0.500 0.500 0.389
Ba 0.500 0.500 0.722
Cl 0.500 0.000 0.636
Cl 0.500 0.500 0.136
```